(1)
# FeAg2PdPt (PBE, optimized geometry)
data_FeAg2PdPt
_cell_length_a 5.0342
_cell_length_b 5.0342
_cell_length_c 4.9060
_cell_angle_alpha 90.00
_cell_angle_beta 90.00
_cell_angle_gamma 90.00
_symmetry_space_group_name_H-M 'P 4/m m m'
_symmetry_Int_Tables_number 123
_symmetry_space_group_name_Hall '-P 4 2'
loop_
_atom_site_label
_atom_site_type_symbol
_atom_site_fract_x
_atom_site_fract_y
_atom_site_fract_z
Fe1 Fe 0.0000 0.0000 0.0000
Ag1 Ag 0.0000 0.5000 0.5000
Pd1 Pd 0.5000 0.5000 0.0000
Pt1 Pt 0.5000 0.5000 0.5000
# mass density = 7.7 g cm⁻³
# N(E_F) = 10.0 states/eV/f.u.
# formation energy = 1306 meV per atom

(2)
# PtO4 (PBE, optimized geometry)
data_PtO4
_cell_length_a 3.8954
_cell_length_b 3.8954
_cell_length_c 3.8954
_cell_angle_alpha 90.00
_cell_angle_beta 90.00
_cell_angle_gamma 90.00
_symmetry_space_group_name_H-M 'P m -3 m'
_symmetry_Int_Tables_number 221
_symmetry_space_group_name_Hall '-P 4 2 3'
loop_
_atom_site_label
_atom_site_type_symbol
_atom_site_fract_x
_atom_site_fract_y
_atom_site_fract_z
Pt1 Pt 0.0000 0.0000 0.0000
O1 O 0.0000 0.0000 0.5000
O2 O 0.5000 0.5000 0.5000
# formation energy without anion corrections = 4.0 eV/f.u.
# mass density = 7.3 g cm⁻³
# N(E_F) = 5.6 states/eV/f.u.

(3)
# Cs3KSr (PBE, optimized geometry)
data_Cs3KSr
_cell_length_a 8.1694
_cell_length_b 8.1694
_cell_length_c 8.1694
_cell_angle_alpha 90.00
_cell_angle_beta 90.00
_cell_angle_gamma 90.00
_symmetry_space_group_name_H-M 'P m -3 m'
_symmetry_Int_Tables_number 221
_symmetry_space_group_name_Hall '-P 4 2 3'
loop_
_atom_site_label
_atom_site_type_symbol
_atom_site_fract_x
_atom_site_fract_y
_atom_site_fract_z
Cs1 Cs 0.0000 0.0000 0.5000
K1 K 0.0000 0.0000 0.0000
Sr1 Sr 0.5000 0.5000 0.5000
# mass density = 1.6 g cm⁻³
# N(E_F) = 6.1 states/eV/f.u.
# formation energy = 304 meV per atom
# E above lowest polymorph = 0 meV/atom

(4)
# CuSb2Os (PBE, optimized geometry)
data_CuSb2Os
_cell_length_a 8.4764
_cell_length_b 3.3068
_cell_length_c 6.5873
_cell_angle_alpha 90.00
_cell_angle_beta 108.07
_cell_angle_gamma 90.00
_symmetry_space_group_name_H-M 'C 1 m 1'
_symmetry_Int_Tables_number 8
loop_
_symmetry_equiv_pos_as_xyz
'x,y,z'
'x,-y,z'
'x+1/2,y+1/2,z'
'x+1/2,-y+1/2,z'
loop_
_atom_site_label
_atom_site_type_symbol
_atom_site_fract_x
_atom_site_fract_y
_atom_site_fract_z
Cu1 Cu 0.0000 0.0000 0.0000
Sb1 Sb 0.0104 0.5000 0.3625
Sb2 Sb 0.2405 0.0000 0.8359
Os1 Os 0.2554 0.5000 0.1724
# formation energy without anion corrections = 1.2 eV/f.u.
# mass density = 9.4 g cm⁻³
# N(E_F) = 2.1 states/eV/f.u.
# E above lowest polymorph = 8 meV/atom

(5)
# Ho2HfF (PBE, optimized geometry)
data_Ho2HfF
_cell_length_a 3.1787
_cell_length_b 3.1787
_cell_length_c 30.2662
_cell_angle_alpha 90.00
_cell_angle_beta 90.00
_cell_angle_gamma 120.00
_symmetry_space_group_name_H-M 'R -3 m'
_symmetry_Int_Tables_number 166
_symmetry_space_group_name_Hall '-R 3 2"'
loop_
_atom_site_label
_atom_site_type_symbol
_atom_site_fract_x
_atom_site_fract_y
_atom_site_fract_z
Ho1 Ho 0.0000 0.0000 0.1043
Hf1 Hf 0.0000 0.0000 0.0000
F1 F 0.0000 0.0000 0.5000
# formation energy without anion corrections = -2.9 eV/f.u.
# mass density = 9.9 g cm⁻³
# N(E_F) = 4.6 states/eV/f.u.

(6)
# TiV3Ni12 (PBE, optimized geometry)
data_TiV3Ni12
_cell_length_a 3.5756
_cell_length_b 3.5756
_cell_length_c 14.3246
_cell_angle_alpha 90.00
_cell_angle_beta 90.00
_cell_angle_gamma 90.00
_symmetry_space_group_name_H-M 'P 4/m m m'
_symmetry_Int_Tables_number 123
_symmetry_space_group_name_Hall '-P 4 2'
loop_
_atom_site_label
_atom_site_type_symbol
_atom_site_fract_x
_atom_site_fract_y
_atom_site_fract_z
Ti1 Ti 0.0000 0.0000 0.0000
V1 V 0.0000 0.0000 0.2518
V2 V 0.0000 0.0000 0.5000
Ni1 Ni 0.0000 0.5000 0.1274
Ni2 Ni 0.0000 0.5000 0.3754
Ni3 Ni 0.5000 0.5000 0.0000
Ni4 Ni 0.5000 0.5000 0.2511
Ni5 Ni 0.5000 0.5000 0.5000
# mass density = 8.2 g cm⁻³
# N(E_F) = 17.4 states/eV/f.u.
# formation energy = -235 meV per atom

(7)
# CsSbPb2Se4 (PBE, optimized geometry)
data_CsSbPb2Se4
_cell_length_a 8.8125
_cell_length_b 9.1100
_cell_length_c 12.6160
_cell_angle_alpha 90.00
_cell_angle_beta 90.00
_cell_angle_gamma 90.00
_symmetry_space_group_name_H-M 'I m m a'
_symmetry_Int_Tables_number 74
_symmetry_space_group_name_Hall '-I 2b 2'
loop_
_atom_site_label
_atom_site_type_symbol
_atom_site_fract_x
_atom_site_fract_y
_atom_site_fract_z
Cs1 Cs 0.2500 0.2500 0.2500
Sb1 Sb 0.0000 0.0000 0.0000
Pb1 Pb 0.0000 0.0000 0.5000
Pb2 Pb 0.2500 0.2500 0.7500
Se1 Se 0.0000 0.0263 0.7663
Se2 Se 0.2372 0.2500 0.9898
# formation energy without anion corrections = -3.7 eV/f.u.
# mass density = 6.5 g cm⁻³
# N(E_F) = 2.1 states/eV/f.u.

(8)
# ErSc2Ga3 (PBE, optimized geometry)
data_ErSc2Ga3
_cell_length_a 5.7553
_cell_length_b 9.9824
_cell_length_c 4.5709
_cell_angle_alpha 90.00
_cell_angle_beta 90.00
_cell_angle_gamma 90.00
_symmetry_space_group_name_H-M 'C m m m'
_symmetry_Int_Tables_number 65
_symmetry_space_group_name_Hall '-C 2 2'
loop_
_atom_site_label
_atom_site_type_symbol
_atom_site_fract_x
_atom_site_fract_y
_atom_site_fract_z
Er1 Er 0.0000 0.0000 0.0000
Sc1 Sc 0.0000 0.3335 0.0000
Ga1 Ga 0.0000 0.5000 0.5000
Ga2 Ga 0.2500 0.2500 0.5000
# mass density = 5.9 g cm⁻³
# N(E_F) = 3.6 states/eV/f.u.
# formation energy = -397 meV per atom
# E above lowest polymorph = 187 meV/atom